1.
Here is an optimized crystal structure of CuPPt2 from Alexandria via LeMat-Bulk. Energies are from PBE.

Distance to the lowest polymorph of the same formula (eV/f.u.): 0.200
Total magnetic moment (μB per formula unit): 0.0
DOS at the Fermi energy (states/eV/f.u.): 1.70

a = 4.9668 Å, b = 4.9668 Å, c = 4.9668 Å
α = 140.02°, β = 130.80°, γ = 65.18°
Closest atoms and distances in Å follow each position.
Sites, in units of the cell vectors:
Cu (0.0000, 0.0000, 0.0000)  4 Pt 2.66, 4 P 2.68
P (0.5000, 0.5000, 0.0000)  4 Pt 2.38
Pt (0.3001, 0.8001, 0.5000)  2 P 2.38, 2 Cu 2.66
Pt (0.6999, 0.1999, 0.5000)  2 P 2.38, 2 Cu 2.66

2.
Here is an optimized crystal structure of Ca2CdInCo from Alexandria via LeMat-Bulk. Energies are from PBE.

Distance to the lowest polymorph of the same formula (eV/f.u.): 0.000
Total magnetic moment (μB per formula unit): 0.0
DOS at the Fermi energy (states/eV/f.u.): 3.74

a = 4.9778 Å, b = 4.9778 Å, c = 4.9354 Å
α = 90.00°, β = 90.00°, γ = 90.00°
Closest atoms and distances in Å follow each position.
Sites, in units of the cell vectors:
Ca (0.0000, 0.5000, 0.0000)  2 Co 2.49
Ca (0.5000, 0.0000, 0.0000)  2 Co 2.49
Cd (0.0000, 0.0000, 0.5000)  2 Co 2.47
In (0.5000, 0.5000, 0.5000)  8 Ca 3.50, 4 Cd 3.52
Co (0.0000, 0.0000, 0.0000)  2 Cd 2.47, 4 Ca 2.49

3.
Here is an optimized crystal structure of Tb4Pr5In from Alexandria via LeMat-Bulk. Energies are from PBE.

Distance to the lowest polymorph of the same formula (eV/f.u.): 1.470
Total magnetic moment (μB per formula unit): 0.0
DOS at the Fermi energy (states/eV/f.u.): 13.58

a = 8.1387 Å, b = 8.1387 Å, c = 8.1387 Å
α = 97.98°, β = 97.98°, γ = 136.25°
Closest atoms and distances in Å follow each position.
Sites, in units of the cell vectors:
Tb (0.0000, 0.3178, 0.3178)  3 Pr 3.33-3.63
Tb (0.0000, 0.6822, 0.6822)  3 Pr 3.33-3.63
Tb (0.3178, 0.0000, 0.3178)  3 Pr 3.33-3.63
Tb (0.6822, 0.0000, 0.6822)  3 Pr 3.33-3.63
Pr (0.2133, 0.2133, 0.0000)  2 In 2.90-3.16
Pr (0.3050, 0.3050, 0.6233)  1 In 3.20, 3 Pr 3.31-3.56, 2 Tb 3.33
Pr (0.3050, 0.6818, 0.0000)  1 In 3.20, 3 Pr 3.31-3.56, 2 Tb 3.33
Pr (0.6818, 0.3050, 0.0000)  1 In 3.20, 3 Pr 3.31-3.56, 2 Tb 3.33
Pr (0.6818, 0.6818, 0.3767)  1 In 3.20, 3 Pr 3.31-3.56, 2 Tb 3.33
In (0.7345, 0.7345, 0.0000)  6 Pr 2.90-3.20

4.
Here is an optimized crystal structure of Al2BiTeRu from Alexandria via LeMat-Bulk. Energies are from PBE.

Formation energy without anion corrections (eV per atom): 1.511
Total magnetic moment (μB per formula unit): 2.3
DOS at the Fermi energy (states/eV/f.u.): 3.81

a = 5.1656 Å, b = 5.1656 Å, c = 5.8840 Å
α = 90.00°, β = 90.00°, γ = 90.00°
Closest atoms and distances in Å follow each position.
Sites, in units of the cell vectors:
Al (0.0000, 0.5000, 0.0000)  2 Te 2.58
Al (0.5000, 0.0000, 0.0000)  2 Te 2.58
Bi (0.0000, 0.0000, 0.5000)  2 Te 2.94
Te (0.0000, 0.0000, 0.0000)  4 Al 2.58
Ru (0.5000, 0.5000, 0.5000)  4 Bi 3.65, 8 Al 3.91

The highest total magnetic moment belongs to which entry? Al2BiTeRu